(1)
DFT (PBE) results for a relaxed BaNaTlPb crystal.

Cell and atoms, written as CIF:
```
data_BaNaTlPb
_space_group_name_H-M_alt 'F -4 3 m'
_space_group_IT_number 216
_space_group_name_Hall 'F -4 2 3'
_cell_length_a 8.194
_cell_length_b 8.194
_cell_length_c 8.194
_cell_angle_alpha 90.00
_cell_angle_beta 90.00
_cell_angle_gamma 90.00
loop_
_atom_site_label
_atom_site_type_symbol
_atom_site_fract_x
_atom_site_fract_y
_atom_site_fract_z
_atom_site_occupancy
Ba1 Ba 0.000 0.000 0.000 1
Na1 Na 0.000 0.000 0.500 1
Tl1 Tl 0.250 0.250 0.250 1
Pb1 Pb 0.250 0.250 0.750 1
```

(2)
DFT (PBE) results for a relaxed Ba2Na2ZnPb4 crystal.

Cell and atoms, written as CIF:
```
data_Ba2Na2ZnPb4
_space_group_name_H-M_alt 'I 4/m m m'
_space_group_IT_number 139
_space_group_name_Hall '-I 4 2'
_cell_length_a 7.533
_cell_length_b 7.533
_cell_length_c 10.451
_cell_angle_alpha 90.00
_cell_angle_beta 90.00
_cell_angle_gamma 90.00
loop_
_atom_site_label
_atom_site_type_symbol
_atom_site_fract_x
_atom_site_fract_y
_atom_site_fract_z
_atom_site_occupancy
Ba1 Ba 0.000 0.500 0.250 1
Na1 Na 0.000 0.000 0.218 1
Zn1 Zn 0.000 0.000 0.500 1
Pb1 Pb 0.233 0.233 0.000 1
```

(3)
DFT (PBE) results for a relaxed BaNaZnPb2 crystal.

Cell and atoms, written as CIF:
```
data_BaNaZnPb2
_space_group_name_H-M_alt 'P 4/m m m'
_space_group_IT_number 123
_space_group_name_Hall '-P 4 2'
_cell_length_a 5.626
_cell_length_b 5.626
_cell_length_c 5.393
_cell_angle_alpha 90.00
_cell_angle_beta 90.00
_cell_angle_gamma 90.00
loop_
_atom_site_label
_atom_site_type_symbol
_atom_site_fract_x
_atom_site_fract_y
_atom_site_fract_z
_atom_site_occupancy
Ba1 Ba 0.000 0.000 0.000 1
Na1 Na 0.500 0.500 0.500 1
Zn1 Zn 0.500 0.500 0.000 1
Pb1 Pb 0.000 0.500 0.500 1
```

(4)
DFT (PBE) results for a relaxed Ba2Na2Pd15 crystal.

Cell and atoms, written as CIF:
```
data_Ba2Na2Pd15
_space_group_name_H-M_alt 'R -3 m'
_space_group_IT_number 166
_space_group_name_Hall '-R 3 2"'
_cell_length_a 9.5120
_cell_length_b 9.5120
_cell_length_c 13.5916
_cell_angle_alpha 90.00
_cell_angle_beta 90.00
_cell_angle_gamma 120.00
loop_
_atom_site_label
_atom_site_type_symbol
_atom_site_fract_x
_atom_site_fract_y
_atom_site_fract_z
_atom_site_occupancy
Ba1 Ba 0.0000 0.0000 0.1556 1
Na1 Na 0.0000 0.0000 0.4045 1
Pd1 Pd 0.0000 0.3028 0.5000 1
Pd2 Pd 0.0000 0.5000 0.0000 1
Pd3 Pd 0.0012 0.5006 0.6572 1
```

Number 1: formation enthalpy at 0 K -0.330 eV per atom, DOS(E_F) 1.2 states/eV/f.u., total energy -2.659 eV per atom. Number 2: formation enthalpy at 0 K -0.275 eV per atom, DOS(E_F) 5.3 states/eV/f.u., total energy -2.785 eV per atom. Number 3: formation enthalpy at 0 K 0.081 eV per atom, DOS(E_F) 3.9 states/eV/f.u., total energy -2.305 eV per atom. Number 4: formation enthalpy at 0 K -0.255 eV per atom, DOS(E_F) 20.3 states/eV/f.u., total energy -4.696 eV per atom.